MgNbH after structural relaxation. Source: Alexandria, functional PBE-GGA.

Unit cell a=4.225 b=4.225 c=4.225 alpha=60.00 beta=60.00 gamma=60.00
Element x y z (fractional)
H  0.250  0.250  0.250
Nb  0.750  0.750  0.750
Mg  0.000  0.000  0.000

## Properties
Final energy   -3.100 eV per atom
M_tot   0.00 μB per formula unit
Space group   No. 216
Theoretical density   3.7 g/cm3

La4HgSe after structural relaxation. Source: Alexandria, functional PBE-GGA.

Unit cell a=6.397 b=6.397 c=6.397 alpha=60.00 beta=60.00 gamma=60.00
Element x y z (fractional)
La  0.875  0.375  0.375
La  0.375  0.375  0.875
La  0.375  0.875  0.375
La  0.375  0.375  0.375
Hg  0.000  0.000  0.000
Se  0.750  0.750  0.750

## Properties
Final energy   -3.925 eV per atom
M_tot   0.00 μB per formula unit
Space group   No. 216
Theoretical density   7.5 g/cm3
Energy relative to the elements, uncorrected   -0.009 eV/atom

YZr2S6 after structural relaxation. Source: Alexandria, functional PBE-GGA.

Unit cell a=5.108 b=6.781 c=7.281 alpha=76.84 beta=69.47 gamma=67.88
Element x y z (fractional)
Y  0.000  0.500  0.500
Zr  0.170  0.742  0.917
Zr  0.830  0.258  0.083
S  0.729  0.653  0.889
S  0.271  0.347  0.111
S  0.936  0.882  0.246
S  0.387  0.676  0.551
S  0.064  0.118  0.754
S  0.613  0.324  0.449

## Properties
Final energy   -6.787 eV per atom
M_tot   0.00 μB per formula unit
Space group   No. 12
Theoretical density   3.5 g/cm3
Energy relative to the elements, uncorrected   -1.418 eV/atom